# Ac6Si2PbI3

Crystalline Ac6Si2PbI3 at its relaxed geometry (GGA-PBE, Alexandria).

Cell lengths 10.789, 10.789, 9.728 Å; angles 105.03, 105.03, 25.11 degrees
Fractional positions:
Ac 0.017 0.017 0.245
Ac 0.321 0.321 0.440
Ac 0.335 0.335 0.873
Ac 0.665 0.665 0.127
Ac 0.679 0.679 0.560
Ac 0.983 0.983 0.755
Si 0.168 0.168 0.339
Si 0.832 0.832 0.661
Pb 0.500 0.500 0.000
I 0.163 0.163 0.835
I 0.500 0.500 0.500
I 0.837 0.837 0.165

- E_form (uncorrected): -0.89 eV per atom
- Electronic total energy: -4.540 eV/atom
- Spin magnetization: 0.000 μB/atom


# RbIn2GaSb2

Crystalline RbIn2GaSb2 at its relaxed geometry (GGA-PBE, Alexandria).

Cell lengths 6.870, 12.227, 4.894 Å; angles 90.00, 90.00, 90.00 degrees
Fractional positions:
Rb 0.000 0.000 0.000
Rb 0.500 0.500 0.500
In 0.240 0.314 0.000
In 0.260 0.814 0.500
In 0.740 0.186 0.500
In 0.760 0.686 0.000
Ga 0.000 0.500 0.000
Ga 0.500 0.000 0.500
Sb 0.173 0.188 0.500
Sb 0.327 0.688 0.000
Sb 0.673 0.312 0.000
Sb 0.827 0.812 0.500

- E_form (uncorrected): -0.07 eV per atom
- Electronic total energy: -3.024 eV/atom
- Spin magnetization: 0.000 μB/atom


# Sc2PaH8

Crystalline Sc2PaH8 at its relaxed geometry (GGA-PBE, Alexandria).

Cell lengths 6.054, 6.054, 6.054 Å; angles 147.58, 129.48, 61.31 degrees
Fractional positions:
Sc 0.170 0.170 0.000
Sc 0.830 0.830 0.000
Pa 0.500 0.500 0.000
H 0.064 0.332 0.732
H 0.205 0.000 0.205
H 0.350 0.850 0.500
H 0.400 0.668 0.732
H 0.600 0.332 0.268
H 0.650 0.150 0.500
H 0.795 0.000 0.795
H 0.936 0.668 0.268

- Electronic total energy: -4.923 eV/atom
- Spin magnetization: 0.136 μB/atom


# YTaNbIr2

Crystalline YTaNbIr2 at its relaxed geometry (GGA-PBE, Alexandria).

Cell lengths 6.128, 6.128, 6.128 Å; angles 137.56, 137.56, 61.58 degrees
Fractional positions:
Y 0.000 0.000 0.000
Ta 0.750 0.250 0.500
Nb 0.250 0.750 0.500
Ir 0.376 0.376 0.000
Ir 0.624 0.624 0.000

- Electronic total energy: -9.812 eV/atom
- Spin magnetization: 0.000 μB/atom
- E_form: -0.59 eV per atom


# LaRe

Crystalline LaRe at its relaxed geometry (GGA-PBE, Alexandria).

Cell lengths 3.060, 3.060, 4.884 Å; angles 90.00, 90.00, 113.60 degrees
Fractional positions:
La 0.000 0.000 0.000
Re 0.500 0.500 0.500

- Electronic total energy: -7.965 eV/atom
- Spin magnetization: 0.000 μB/atom
- Relative energy among the computed polymorphs: 571 meV/atom
- E_form: 0.72 eV per atom


# Tm2Ga2Ru

Crystalline Tm2Ga2Ru at its relaxed geometry (GGA-PBE, Alexandria).

Cell lengths 5.778, 5.778, 10.412 Å; angles 114.87, 114.87, 41.70 degrees
Fractional positions:
Tm 0.008 0.008 0.330
Tm 0.192 0.192 0.121
Tm 0.808 0.808 0.879
Tm 0.992 0.992 0.670
Ga 0.358 0.358 0.441
Ga 0.481 0.481 0.114
Ga 0.519 0.519 0.886
Ga 0.642 0.642 0.559
Ru 0.283 0.283 0.646
Ru 0.717 0.717 0.354

- Electronic total energy: -5.453 eV/atom
- Spin magnetization: 0.000 μB/atom
- Relative energy among the computed polymorphs: 0 meV/atom
- E_form: -0.60 eV per atom